Entry from Alexandria via LeMat-Bulk: crystalline RbTcW2Br at its relaxed geometry (PBE-GGA).

Cell: 4.726 4.726 5.344 Å, 90.00 90.00 90.00°
Sites, in units of the cell vectors:
Rb1 0.000 0.000 0.000
Tc1 0.500 0.500 0.500
W1 0.000 0.500 0.000
W2 0.500 0.000 0.000
Br1 0.000 0.000 0.500

Calculated values
DOS(E_F) in states/eV per cell: 12.101
Calculated total energy in eV per cell: -18.83
Energy relative to the elements, uncorrected in eV per atom: 4.02
SG: P4/mmm, No. 123